A plane-wave DFT calculation with GGA-PBE was carried out for an optimized crystal structure of VSi3N.

The structure belongs to space group Pm-3m (No. 221); the cell edges are 4.598, 4.598 and 4.598 Å and the angles 90.00°, 90.00° and 90.00°. Symmetry generates all atoms from V at (0.000, 0.000, 0.000), Si at (0.000, 0.000, 0.500) and N at (0.500, 0.500, 0.500).

As for the energy: -0.3935 Ry/atom. The calculation puts the size of the total moment at 3.4 μB per formula unit. The value obtained for the density of states at the Fermi level is 1.80 states/eV/cell. The uncorrected formation energy is 1.389 eV per atom. Its energy above the most stable polymorph in this dataset is 435.4 kJ/mol of formula units.

A plane-wave DFT calculation with GGA-PBE was carried out for an optimized crystal structure of VSiN.

The structure belongs to space group P2_1/m (No. 11); the cell edges are 4.484, 2.828 and 5.012 Å and the angles 90.00°, 105.58° and 90.00°. Symmetry generates all atoms from V at (0.250, 0.250, 0.092), Si at (0.304, 0.250, 0.595) and N at (0.061, 0.750, 0.297).

As for the energy: -0.5916 Ry/atom. The calculation puts the size of the total moment at 0.0 μB per formula unit. The value obtained for the density of states at the Fermi level is 2.14 states/eV/cell. The uncorrected formation energy is -0.427 eV per atom.

A plane-wave DFT calculation with GGA-PBE was carried out for an optimized crystal structure of VSi2WN.

The structure belongs to space group P4/mmm (No. 123); the cell edges are 4.814, 4.814 and 3.809 Å and the angles 90.00°, 90.00° and 90.00°. Symmetry generates all atoms from V at (0.000, 0.000, 0.000), Si at (0.000, 0.500, 0.500), W at (0.500, 0.500, 0.500) and N at (0.500, 0.500, 0.000).

As for the energy: -0.5283 Ry/atom. The calculation puts the size of the total moment at 0.0 μB per formula unit. The value obtained for the density of states at the Fermi level is 8.97 states/eV/cell. The uncorrected formation energy is 1.060 eV per atom.

A plane-wave DFT calculation with GGA-PBE was carried out for an optimized crystal structure of SiWN.

The structure belongs to space group P1 (No. 1); the cell edges are 2.851, 4.991 and 5.715 Å and the angles 73.06°, 89.35° and 89.81°. Symmetry generates all atoms from Si at (0.000, 0.000, 0.000), Si at (0.004, 0.995, 0.496), W at (0.499, 0.442, 0.925), W at (0.505, 0.436, 0.350), N at (0.001, 0.774, 0.804) and N at (0.003, 0.763, 0.309).

As for the energy: -0.6726 Ry/atom. The calculation puts the size of the total moment at 0.0 μB per formula unit. The value obtained for the density of states at the Fermi level is 0.40 states/eV/cell. The uncorrected formation energy is -0.251 eV per atom. Its energy above the most stable polymorph in this dataset is 2.6 kJ/mol of formula units.